LuIn2Hg, relaxed, DFT PBE; DFT formation energy = -0.6 eV/f.u.; V = 25.2 A^3/atom; total DFT energy (no corrections) = -10.9 eV per cell; space-group type = P4/mmm (123); D(E_F) = 0.659 states/eV per atom
1.0
3.620 0.000 0.000
0.000 3.620 0.000
0.000 0.000 7.688
Lu In Hg
1 2 1
direct
0.000 0.000 0.000 Lu
0.500 0.500 0.258 In
0.500 0.500 0.742 In
0.000 0.000 0.500 Hg